[1]
Compound: NaAl6Zn12
Source: Alexandria via LeMat-Bulk
Functional: PBE
Structure: optimized geometry

Properties
The calculation puts the density of states at the Fermi level at 19.36 states/eV per cell. The calculation puts the formation energy from the elements at 0.0805 eV per atom.

a = 11.5336 Å, b = 11.5336 Å, c = 8.7790 Å
α = 90.00°, β = 90.00°, γ = 120.00°
Space group R-3m (No. 166, hexagonal axes)
Inequivalent atoms, fractional coordinates:
Na: 0.0000 0.0000 0.0000
Al: 0.0646 0.5323 0.2267
Zn: 0.0000 0.3910 0.5000
Zn: 0.0796 0.1592 0.2787



[2]
Compound: Cu2Ni2Pd
Source: Alexandria via LeMat-Bulk
Functional: PBE
Structure: optimized geometry

Properties
The calculation puts the density of states at the Fermi level at 17.00 states/eV per cell. The calculation puts the formation energy from the elements at 0.2910 eV per atom.

a = 3.3545 Å, b = 3.3545 Å, c = 11.7775 Å
α = 90.00°, β = 90.00°, γ = 90.00°
Space group I4/mmm (No. 139)
Inequivalent atoms, fractional coordinates:
Cu: 0.0000 0.0000 0.1011
Ni: 0.0000 0.5000 0.2500
Pd: 0.0000 0.0000 0.5000



[3]
Compound: CeNdTlAg
Source: Alexandria via LeMat-Bulk
Functional: PBE
Structure: optimized geometry

Properties
The calculation puts the density of states at the Fermi level at 44.51 states/eV per cell. The calculation puts the formation energy from the elements at -0.2125 eV per atom.

a = 7.6700 Å, b = 7.6700 Å, c = 7.6700 Å
α = 90.00°, β = 90.00°, γ = 90.00°
Space group F-43m (No. 216)
Inequivalent atoms, fractional coordinates:
Ce: 0.0000 0.0000 0.0000
Nd: 0.0000 0.0000 0.5000
Tl: 0.2500 0.2500 0.7500
Ag: 0.2500 0.2500 0.2500



[4]
Compound: Ca2HfThAs4
Source: Alexandria via LeMat-Bulk
Functional: PBE
Structure: optimized geometry

Properties
The calculation puts the density of states at the Fermi level at 0.64 states/eV per cell. The calculation puts the formation energy from the elements at -1.2157 eV per atom.

a = 7.1410 Å, b = 4.1383 Å, c = 7.2696 Å
α = 90.00°, β = 109.07°, γ = 90.00°
Space group P2/m (No. 10)
Inequivalent atoms, fractional coordinates:
Ca: 0.0000 0.0000 0.0000
Ca: 0.5000 0.5000 0.0000
Hf: 0.0000 0.5000 0.5000
Th: 0.5000 0.0000 0.5000
As: 0.2272 0.0000 0.7275
As: 0.2376 0.5000 0.2639



[5]
Compound: MnInSn2
Source: Alexandria via LeMat-Bulk
Functional: PBE
Structure: optimized geometry

Properties
The calculation puts the density of states at the Fermi level at 9.76 states/eV per cell. The calculation puts the formation energy from the elements at 0.2004 eV per atom.

a = 3.2989 Å, b = 3.2989 Å, c = 30.1128 Å
α = 90.00°, β = 90.00°, γ = 120.00°
Space group R-3m (No. 166, hexagonal axes)
Inequivalent atoms, fractional coordinates:
Mn: 0.0000 0.0000 0.0000
In: 0.0000 0.0000 0.5000
Sn: 0.0000 0.0000 0.2622



[6]
Compound: NbRhI2O
Source: Alexandria via LeMat-Bulk
Functional: PBE
Structure: optimized geometry

Properties
The calculation puts the density of states at the Fermi level at 3.30 states/eV per cell. The uncorrected formation energy comes out at 1.67 eV/f.u.

a = 5.6020 Å, b = 5.6020 Å, c = 3.7216 Å
α = 90.00°, β = 90.00°, γ = 90.00°
Space group P4/mmm (No. 123)
Inequivalent atoms, fractional coordinates:
Nb: 0.0000 0.0000 0.0000
Rh: 0.5000 0.5000 0.5000
I: 0.0000 0.5000 0.5000
O: 0.5000 0.5000 0.0000